{"formula": "Lu2MnS4", "functional": "PBE", "state": "optimized geometry", "vol_a3_per_atom": 23.21, "total_energy_ev_per_atom": -6.609, "raw_formation_energy_kj_per_mol_fu": -1114, "lattice": [[5.878, 1.559, 4.751], [-0.612, 5.715, 5.149], [-0.581, -1.629, 7.521]], "species": ["S", "S", "S", "S", "S", "S", "S", "S", "Lu", "Lu", "Lu", "Lu", "Mn", "Mn"], "frac_coords": [[0.388, 0.871, 0.871], [0.871, 0.871, 0.871], [0.379, 0.862, 0.379], [0.379, 0.379, 0.862], [0.862, 0.379, 0.379], [0.871, 0.388, 0.871], [0.871, 0.871, 0.388], [0.379, 0.379, 0.379], [0.625, 0.625, 0.625], [0.625, 0.125, 0.625], [0.625, 0.625, 0.125], [0.125, 0.625, 0.625], [0.000, 0.000, 0.000], [0.250, 0.250, 0.250]]}

{"formula": "DyPaNiN3", "functional": "PBE", "state": "optimized geometry", "vol_a3_per_atom": 14.06, "total_energy_ev_per_atom": -8.566, "raw_formation_energy_kj_per_mol_fu": -631, "lattice": [[-1.076, -1.879, 2.634], [5.994, 1.379, 3.432], [-3.910, 5.477, 2.310]], "species": ["Ni", "Ni", "N", "N", "N", "N", "N", "N", "Pa", "Pa", "Dy", "Dy"], "frac_coords": [[0.250, 0.104, 0.569], [0.750, 0.896, 0.431], [0.750, 0.427, 0.142], [0.750, 0.190, 0.474], [0.250, 0.810, 0.526], [0.250, 0.126, 0.865], [0.750, 0.874, 0.135], [0.250, 0.573, 0.858], [0.250, 0.661, 0.186], [0.750, 0.339, 0.814], [0.250, 0.164, 0.206], [0.750, 0.836, 0.794]]}

{"formula": "Hf4TiNi", "functional": "PBE", "state": "optimized geometry", "vol_a3_per_atom": 19.70, "total_energy_ev_per_atom": -8.968, "ef_mev_per_atom": -53, "lattice": [[5.567, 0.000, 0.000], [0.000, 6.516, 0.000], [0.000, 0.000, 6.516]], "species": ["Hf", "Hf", "Hf", "Hf", "Hf", "Hf", "Hf", "Hf", "Ni", "Ni", "Ti", "Ti"], "frac_coords": [[0.000, 0.649, 0.820], [0.000, 0.180, 0.649], [0.500, 0.820, 0.649], [0.000, 0.820, 0.351], [0.500, 0.649, 0.180], [0.500, 0.351, 0.820], [0.000, 0.351, 0.180], [0.500, 0.180, 0.351], [0.250, 0.500, 0.500], [0.750, 0.500, 0.500], [0.750, 0.000, 0.000], [0.250, 0.000, 0.000]]}

{"formula": "Ba2TlBiO", "functional": "PBE", "state": "optimized geometry", "vol_a3_per_atom": 32.13, "total_energy_ev_per_atom": -4.253, "raw_formation_energy_kj_per_mol_fu": -600, "lattice": [[5.466, 0.000, 0.000], [0.000, 5.466, 0.000], [0.000, 0.000, 5.376]], "species": ["O", "Ba", "Ba", "Bi", "Tl"], "frac_coords": [[0.000, 0.000, 0.000], [0.000, 0.500, 0.000], [0.500, 0.000, 0.000], [0.500, 0.500, 0.500], [0.000, 0.000, 0.500]]}

{"formula": "NaPmCd", "functional": "PBE", "state": "optimized geometry", "polymorph_energy_kcal_per_mol_atoms": 0.00, "vol_a3_per_atom": 27.74, "total_energy_ev_per_atom": -2.351, "ef_mev_per_atom": -22, "lattice": [[3.323, 0.000, 0.000], [0.000, 5.377, 0.000], [0.000, -2.689, 4.657]], "species": ["Cd", "Na", "Pm"], "frac_coords": [[0.501, 0.333, 0.667], [0.499, 0.667, 0.333], [0.000, 0.000, 0.000]]}

{"formula": "ZrAlZn4", "functional": "PBE", "state": "optimized geometry", "polymorph_energy_kcal_per_mol_atoms": 0.00, "vol_a3_per_atom": 16.46, "total_energy_ev_per_atom": -2.916, "ef_mev_per_atom": -18, "lattice": [[3.761, -2.779, 2.247], [-1.020, -2.779, 4.261], [-0.104, -5.182, -0.245]], "species": ["Al", "Zn", "Zn", "Zn", "Zn", "Zr"], "frac_coords": [[0.000, 0.000, 0.000], [0.376, 0.376, 0.873], [0.376, 0.873, 0.376], [0.376, 0.376, 0.376], [0.873, 0.376, 0.376], [0.750, 0.750, 0.750]]}

{"formula": "La2CdCu3Ni12", "functional": "PBE", "state": "optimized geometry", "vol_a3_per_atom": 15.89, "total_energy_ev_per_atom": -4.900, "ef_mev_per_atom": 236, "lattice": [[-4.770, 3.790, -6.996], [-7.741, -1.271, -4.953], [-8.147, 4.061, -1.787]], "species": ["Ni", "Ni", "Ni", "Ni", "Ni", "Ni", "Ni", "Ni", "Ni", "Ni", "Ni", "Ni", "Cd", "La", "La", "Cu", "Cu", "Cu"], "frac_coords": [[0.868, 0.472, 0.868], [0.472, 0.868, 0.868], [0.417, 0.417, 0.794], [0.794, 0.417, 0.417], [0.528, 0.132, 0.132], [0.417, 0.794, 0.417], [0.206, 0.583, 0.583], [0.583, 0.206, 0.583], [0.583, 0.583, 0.206], [0.868, 0.868, 0.472], [0.132, 0.132, 0.528], [0.132, 0.528, 0.132], [0.000, 0.000, 0.000], [0.362, 0.362, 0.362], [0.638, 0.638, 0.638], [0.500, 0.000, 0.000], [0.000, 0.000, 0.500], [0.000, 0.500, 0.000]]}

{"formula": "Pr3Dy2TmSe6", "functional": "PBE", "state": "optimized geometry", "vol_a3_per_atom": 25.48, "total_energy_ev_per_atom": -5.869, "raw_formation_energy_kj_per_mol_fu": -2075, "lattice": [[-1.667, -6.764, 1.480], [5.445, 3.161, 3.330], [-5.596, 3.373, 3.411]], "species": ["Tm", "Dy", "Dy", "Se", "Se", "Se", "Se", "Se", "Se", "Pr", "Pr", "Pr"], "frac_coords": [[0.000, 0.000, 0.000], [0.333, 0.667, 0.000], [0.667, 0.333, 0.000], [0.252, 0.252, 0.768], [0.748, 0.748, 0.232], [0.594, 0.924, 0.770], [0.924, 0.594, 0.770], [0.406, 0.076, 0.230], [0.076, 0.406, 0.230], [0.500, 0.500, 0.500], [0.169, 0.831, 0.500], [0.831, 0.169, 0.500]]}